(1)
# LiSiP

LiSiP after structural relaxation (PBE, Alexandria via LeMat-Bulk).

a b c (Å): 4.2411 4.2411 4.2411
angles (deg): 60.00 60.00 60.00
With the nearest neighbours (Å) after each atom.
Element x y z (fractional)
Li 0.0000 0.0000 0.0000  4 Si 2.60
Si 0.7500 0.7500 0.7500  4 Li 2.60, 4 P 2.60
P 0.5000 0.5000 0.5000  4 Si 2.60

Summary:
- E_tot: -12.0 eV per formula unit
- Distance to the lowest polymorph of the same formula: 0.527 eV per atom
- Crystal system: cubic
- Formation energy without anion corrections: 250 meV per atom

(2)
# Os3PtSe

Os3PtSe after structural relaxation (PBE, Alexandria via LeMat-Bulk).

a b c (Å): 4.4922 4.4922 4.4922
angles (deg): 90.00 90.00 90.00
With the nearest neighbours (Å) after each atom.
Element x y z (fractional)
Os 0.0000 0.0000 0.5000  2 Se 2.25
Os 0.0000 0.5000 0.0000  2 Se 2.25
Os 0.5000 0.0000 0.0000  2 Se 2.25
Pt 0.5000 0.5000 0.5000  12 Os 3.18
Se 0.0000 0.0000 0.0000  6 Os 2.25

Summary:
- E_tot: -33.9 eV per formula unit
- Distance to the lowest polymorph of the same formula: 0.000 eV per atom
- Crystal system: cubic
- Formation energy without anion corrections: 1869 meV per atom

(3)
# TbThSe2

TbThSe2 after structural relaxation (PBE, Alexandria via LeMat-Bulk).

a b c (Å): 7.4890 7.4890 7.4890
angles (deg): 31.36 31.36 31.36
With the nearest neighbours (Å) after each atom.
Element x y z (fractional)
Tb 0.0000 0.0000 0.0000  6 Se 2.88
Th 0.5000 0.5000 0.5000  6 Se 3.00
Se 0.2548 0.2548 0.2548  3 Tb 2.88, 3 Th 3.00
Se 0.7452 0.7452 0.7452  3 Tb 2.88, 3 Th 3.00

Summary:
- E_tot: -25.6 eV per formula unit
- Distance to the lowest polymorph of the same formula: 0.000 eV per atom
- Crystal system: trigonal
- Formation energy without anion corrections: -1651 meV per atom